Record 1
NbTeAs2Pb | PBE-GGA | optimized geometry

a = 5.2057 Å, b = 5.2057 Å, c = 5.6992 Å
α = 90.00°, β = 90.00°, γ = 90.00°
Positions (direct):
Nb 0.0000 0.0000 0.0000
Te 0.5000 0.5000 0.5000
As 0.0000 0.5000 0.5000
As 0.5000 0.0000 0.5000
Pb 0.5000 0.5000 0.0000

Properties
As for the density of states at the Fermi level: 6.9 states/eV per cell. The raw formation energy is 1526.5 meV/atom. The symmetry is P4/mmm, No. 123.

Record 2
CaAgTeN2 | PBE-GGA | optimized geometry

a = 4.3501 Å, b = 4.3501 Å, c = 5.7398 Å
α = 90.00°, β = 90.00°, γ = 90.00°
Positions (direct):
Ca 0.0000 0.0000 0.0000
Ag 0.5000 0.5000 0.5000
Te 0.5000 0.5000 0.0000
N 0.0000 0.5000 0.5000
N 0.5000 0.0000 0.5000

Properties
As for the density of states at the Fermi level: 3.1 states/eV per cell. The energy above the most stable polymorph in this dataset comes out at 0.00 eV/f.u. The raw formation energy is 1042.4 meV/atom. The symmetry is P4/mmm, No. 123.

Record 3
RbCaI | PBE-GGA | optimized geometry

a = 17.3935 Å, b = 4.3793 Å, c = 4.3793 Å
α = 60.03°, β = 90.00°, γ = 90.00°
Positions (direct):
Rb 0.2113 0.0000 0.0000
Rb 0.7887 0.0000 0.0000
Ca 0.0000 0.3350 0.3350
Ca 0.5000 0.0003 0.0003
I 0.3828 0.3337 0.3337
I 0.6172 0.3337 0.3337

Properties
As for the density of states at the Fermi level: 4.4 states/eV per cell. The raw formation energy is -702.4 meV/atom. The symmetry is Amm2, No. 38.

Record 4
La3PbO | PBE-GGA | optimized geometry

a = 4.0177 Å, b = 10.3399 Å, c = 7.7850 Å
α = 90.00°, β = 104.84°, γ = 90.00°
Positions (direct):
La 0.0328 0.2500 0.0814
La 0.3536 0.0650 0.7199
La 0.3536 0.4350 0.7199
La 0.6464 0.5650 0.2801
La 0.6464 0.9350 0.2801
La 0.9672 0.7500 0.9186
Pb 0.2884 0.7500 0.5527
Pb 0.7116 0.2500 0.4473
O 0.4433 0.2500 0.9030
O 0.5567 0.7500 0.0970

Properties
As for the density of states at the Fermi level: 11.0 states/eV per cell. The raw formation energy is -1353.7 meV/atom. The symmetry is P2_1/m, No. 11.

Record 5
Ca3SmHg4 | PBE-GGA | optimized geometry

a = 8.3969 Å, b = 8.3969 Å, c = 5.3884 Å
α = 108.63°, β = 108.63°, γ = 37.43°
Positions (direct):
Ca 0.0000 0.0000 0.0000
Ca 0.2494 0.2494 0.2495
Ca 0.7506 0.7506 0.7505
Sm 0.5000 0.5000 0.5000
Hg 0.1231 0.1231 0.6231
Hg 0.3769 0.3769 0.8766
Hg 0.6231 0.6231 0.1234
Hg 0.8769 0.8769 0.3769

Properties
As for the density of states at the Fermi level: 5.1 states/eV per cell. The formation enthalpy at 0 K comes out at -422 kJ/mol of formula units. The symmetry is C2/m, No. 12.

Record 6
PaInGa | PBE-GGA | optimized geometry

a = 8.2301 Å, b = 8.2301 Å, c = 5.7771 Å
α = 90.00°, β = 90.00°, γ = 158.73°
Positions (direct):
Pa 0.1414 0.8586 0.7500
Pa 0.8586 0.1414 0.2500
In 0.3395 0.6605 0.7500
In 0.6605 0.3395 0.2500
Ga 0.5000 0.5000 0.0000
Ga 0.5000 0.5000 0.5000

Properties
As for the density of states at the Fermi level: 8.5 states/eV per cell. The energy above the most stable polymorph in this dataset comes out at 0.25 eV/f.u. The formation enthalpy at 0 K comes out at -11 kJ/mol of formula units. The symmetry is Cmcm, No. 63.